Run a
# Mg2InAu2 | the Alexandria database | PBE-GGA | relaxed
data_Mg2InAu2
_symmetry_space_group_name_H-M 'P 4/m b m'
_symmetry_Int_Tables_number 127
_symmetry_space_group_name_Hall '-P 4 2ab'
_cell_length_a 8.1538
_cell_length_b 8.1538
_cell_length_c 3.0501
_cell_angle_alpha 90.00
_cell_angle_beta 90.00
_cell_angle_gamma 90.00
loop_
_atom_site_label
_atom_site_fract_x
_atom_site_fract_y
_atom_site_fract_z
Mg1 0.1359 0.3641 0.0000
In1 0.0000 0.0000 0.0000
Au1 0.1574 0.6574 0.5000
# total magnetization: 0.0 Bohr magnetons per cell

=====

Run b
# Mg2InAu2 | the Alexandria database | PBE-GGA | relaxed
data_Mg2InAu2
_symmetry_space_group_name_H-M 'P 4/m b m'
_symmetry_Int_Tables_number 127
_symmetry_space_group_name_Hall '-P 4 2ab'
_cell_length_a 7.6985
_cell_length_b 7.6985
_cell_length_c 3.3727
_cell_angle_alpha 90.00
_cell_angle_beta 90.00
_cell_angle_gamma 90.00
loop_
_atom_site_label
_atom_site_fract_x
_atom_site_fract_y
_atom_site_fract_z
Mg1 0.1572 0.3428 0.0000
In1 0.0000 0.0000 0.5000
Au1 0.1388 0.6388 0.5000
# total magnetization: 0.0 Bohr magnetons per cell

=====

Which is the most stable structure? run b is the most stable.

=====

Run a
# Mn2InAu8 | the Alexandria database | PBE-GGA | relaxed
data_Mn2InAu8
_symmetry_space_group_name_H-M 'C 1 2/m 1'
_symmetry_Int_Tables_number 12
_cell_length_a 19.1481
_cell_length_b 3.0405
_cell_length_c 7.5095
_cell_angle_alpha 90.00
_cell_angle_beta 110.40
_cell_angle_gamma 90.00
loop_
_symmetry_equiv_pos_as_xyz
'x,y,z'
'-x,-y,-z'
'-x,y,-z'
'x,-y,z'
'x+1/2,y+1/2,z'
'-x+1/2,-y+1/2,-z'
'-x+1/2,y+1/2,-z'
'x+1/2,-y+1/2,z'
loop_
_atom_site_label
_atom_site_fract_x
_atom_site_fract_y
_atom_site_fract_z
Mn1 0.1926 0.0000 0.1899
In1 0.0000 0.5000 0.5000
Au1 0.0538 0.0000 0.2447
Au2 0.0815 0.5000 0.9352
Au3 0.1803 0.5000 0.4868
Au4 0.1896 0.0000 0.8235
# total magnetization: 16.6 Bohr magnetons per cell

=====

Run b
# Mn2InAu8 | the Alexandria database | PBE-GGA | relaxed
data_Mn2InAu8
_symmetry_space_group_name_H-M 'C 1 2/m 1'
_symmetry_Int_Tables_number 12
_cell_length_a 14.7134
_cell_length_b 4.2104
_cell_length_c 6.7029
_cell_angle_alpha 90.00
_cell_angle_beta 108.54
_cell_angle_gamma 90.00
loop_
_symmetry_equiv_pos_as_xyz
'x,y,z'
'-x,-y,-z'
'-x,y,-z'
'x,-y,z'
'x+1/2,y+1/2,z'
'-x+1/2,-y+1/2,-z'
'-x+1/2,y+1/2,-z'
'x+1/2,-y+1/2,z'
loop_
_atom_site_label
_atom_site_fract_x
_atom_site_fract_y
_atom_site_fract_z
Mn1 0.2228 0.0000 0.1468
In1 0.0000 0.5000 0.5000
Au1 0.0450 0.0000 0.2262
Au2 0.1019 0.5000 0.9596
Au3 0.1479 0.0000 0.7084
Au4 0.1818 0.5000 0.4133
# total magnetization: 16.9 Bohr magnetons per cell

=====

Which is the most stable structure? run b is the most stable.

=====

Run a
# MnInAu4 | the Alexandria database | PBE-GGA | relaxed
data_MnInAu4
_symmetry_space_group_name_H-M 'P 1 21/c 1'
_symmetry_Int_Tables_number 14
_cell_length_a 6.1223
_cell_length_b 7.7749
_cell_length_c 4.9385
_cell_angle_alpha 90.00
_cell_angle_beta 104.78
_cell_angle_gamma 90.00
loop_
_symmetry_equiv_pos_as_xyz
'x,y,z'
'-x,-y,-z'
'-x,y+1/2,-z+1/2'
'x,-y+1/2,z+1/2'
loop_
_atom_site_label
_atom_site_fract_x
_atom_site_fract_y
_atom_site_fract_z
Mn1 0.0000 0.0000 0.0000
In1 0.5000 0.0000 0.0000
Au1 0.1501 0.1606 0.5535
Au2 0.3247 0.6586 0.9158
# total magnetization: 8.5 Bohr magnetons per cell

=====

Run b
# MnInAu4 | the Alexandria database | PBE-GGA | relaxed
data_MnInAu4
_symmetry_space_group_name_H-M 'F -4 3 m'
_symmetry_Int_Tables_number 216
_symmetry_space_group_name_Hall 'F -4 2 3'
_cell_length_a 7.8264
_cell_length_b 7.8264
_cell_length_c 7.8264
_cell_angle_alpha 90.00
_cell_angle_beta 90.00
_cell_angle_gamma 90.00
loop_
_atom_site_label
_atom_site_fract_x
_atom_site_fract_y
_atom_site_fract_z
Mn1 0.0000 0.0000 0.0000
In1 0.2500 0.2500 0.2500
Au1 0.1252 0.1252 0.6252
# total magnetization: 17.7 Bohr magnetons per cell

=====

Run c
# MnInAu4 | the Alexandria database | PBE-GGA | relaxed
data_MnInAu4
_symmetry_space_group_name_H-M 'P 4/m m m'
_symmetry_Int_Tables_number 123
_symmetry_space_group_name_Hall '-P 4 2'
_cell_length_a 3.4728
_cell_length_b 3.4728
_cell_length_c 9.1619
_cell_angle_alpha 90.00
_cell_angle_beta 90.00
_cell_angle_gamma 90.00
loop_
_atom_site_label
_atom_site_fract_x
_atom_site_fract_y
_atom_site_fract_z
Mn1 0.0000 0.0000 0.0000
In1 0.5000 0.5000 0.5000
Au1 0.0000 0.0000 0.3219
Au2 0.5000 0.5000 0.1523
# total magnetization: 4.3 Bohr magnetons per cell

=====

Which is the most stable structure? run c is the most stable.

=====

Run a
# MnInAu3 | the Alexandria database | PBE-GGA | relaxed
data_MnInAu3
_symmetry_space_group_name_H-M 'P -1'
_symmetry_Int_Tables_number 2
_cell_length_a 4.9117
_cell_length_b 4.9950
_cell_length_c 7.8145
_cell_angle_alpha 71.46
_cell_angle_beta 89.99
_cell_angle_gamma 89.93
loop_
_symmetry_equiv_pos_as_xyz
'x,y,z'
'-x,-y,-z'
loop_
_atom_site_label
_atom_site_fract_x
_atom_site_fract_y
_atom_site_fract_z
Mn1 0.2499 0.1119 0.2136
In1 0.2500 0.2972 0.8007
Au1 0.2500 0.5151 0.3904
Au2 0.2501 0.7026 0.9974
Au3 0.2500 0.9055 0.6003
# total magnetization: 8.0 Bohr magnetons per cell

=====

Run b
# MnInAu3 | the Alexandria database | PBE-GGA | relaxed
data_MnInAu3
_symmetry_space_group_name_H-M 'P m -3 m'
_symmetry_Int_Tables_number 221
_symmetry_space_group_name_Hall '-P 4 2 3'
_cell_length_a 5.0211
_cell_length_b 5.0211
_cell_length_c 5.0211
_cell_angle_alpha 90.00
_cell_angle_beta 90.00
_cell_angle_gamma 90.00
loop_
_atom_site_label
_atom_site_fract_x
_atom_site_fract_y
_atom_site_fract_z
Mn1 0.0000 0.0000 0.0000
In1 0.5000 0.5000 0.5000
Au1 0.0000 0.0000 0.5000
# total magnetization: 4.4 Bohr magnetons per cell

=====

Run c
# MnInAu3 | the Alexandria database | PBE-GGA | relaxed
data_MnInAu3
_symmetry_space_group_name_H-M 'P 1 21/m 1'
_symmetry_Int_Tables_number 11
_cell_length_a 6.0796
_cell_length_b 3.6629
_cell_length_c 8.7685
_cell_angle_alpha 90.00
_cell_angle_beta 100.59
_cell_angle_gamma 90.00
loop_
_symmetry_equiv_pos_as_xyz
'x,y,z'
'-x,-y,-z'
'-x,y+1/2,-z'
'x,-y+1/2,z'
loop_
_atom_site_label
_atom_site_fract_x
_atom_site_fract_y
_atom_site_fract_z
Mn1 0.0388 0.2500 0.2479
In1 0.4501 0.7500 0.8127
Au1 0.1608 0.2500 0.5920
Au2 0.1875 0.7500 0.0516
Au3 0.3528 0.7500 0.3898
# total magnetization: 8.2 Bohr magnetons per cell

=====

Which is the most stable structure? run a is the most stable.

=====

Run a
# In2MoAu | the Alexandria database | PBE-GGA | relaxed
data_In2MoAu
_symmetry_space_group_name_H-M 'F -4 3 m'
_symmetry_Int_Tables_number 216
_symmetry_space_group_name_Hall 'F -4 2 3'
_cell_length_a 6.8734
_cell_length_b 6.8734
_cell_length_c 6.8734
_cell_angle_alpha 90.00
_cell_angle_beta 90.00
_cell_angle_gamma 90.00
loop_
_atom_site_label
_atom_site_fract_x
_atom_site_fract_y
_atom_site_fract_z
In1 0.0000 0.0000 0.0000
In2 0.2500 0.2500 0.2500
Mo1 0.2500 0.2500 0.7500
Au1 0.0000 0.0000 0.5000
# total magnetization: 10.7 Bohr magnetons per cell

=====

Run b
# In2MoAu | the Alexandria database | PBE-GGA | relaxed
data_In2MoAu
_symmetry_space_group_name_H-M 'I 4/m m m'
_symmetry_Int_Tables_number 139
_symmetry_space_group_name_Hall '-I 4 2'
_cell_length_a 4.2130
_cell_length_b 4.2130
_cell_length_c 8.7225
_cell_angle_alpha 90.00
_cell_angle_beta 90.00
_cell_angle_gamma 90.00
loop_
_atom_site_label
_atom_site_fract_x
_atom_site_fract_y
_atom_site_fract_z
In1 0.0000 0.5000 0.2500
Mo1 0.0000 0.0000 0.0000
Au1 0.0000 0.0000 0.5000
# total magnetization: 0.0 Bohr magnetons per cell

=====

Run c
# In2MoAu | the Alexandria database | PBE-GGA | relaxed
data_In2MoAu
_symmetry_space_group_name_H-M 'P 4 m m'
_symmetry_Int_Tables_number 99
_cell_length_a 3.6423
_cell_length_b 3.6423
_cell_length_c 5.9596
_cell_angle_alpha 90.00
_cell_angle_beta 90.00
_cell_angle_gamma 90.00
loop_
_symmetry_equiv_pos_as_xyz
'x,y,z'
'-y,x,z'
'-x,-y,z'
'y,-x,z'
'-x,y,z'
'y,x,z'
'x,-y,z'
'-y,-x,z'
loop_
_atom_site_label
_atom_site_fract_x
_atom_site_fract_y
_atom_site_fract_z
In1 0.0000 0.0000 0.0000
In2 0.5000 0.5000 0.3010
Mo1 0.0000 0.0000 0.5019
Au1 0.5000 0.5000 0.7735
# total magnetization: 0.0 Bohr magnetons per cell

=====

Which is the most stable structure? run c is the most stable.

=====

Run a
# In2MoAu | the Alexandria database | PBE-GGA | relaxed
data_In2MoAu
_symmetry_space_group_name_H-M 'R -3 m'
_symmetry_Int_Tables_number 166
_symmetry_space_group_name_Hall '-R 3 2"'
_cell_length_a 3.0991
_cell_length_b 3.0991
_cell_length_c 28.1530
_cell_angle_alpha 90.00
_cell_angle_beta 90.00
_cell_angle_gamma 120.00
loop_
_atom_site_label
_atom_site_fract_x
_atom_site_fract_y
_atom_site_fract_z
In1 0.0000 0.0000 0.2485
Mo1 0.0000 0.0000 0.5000
Au1 0.0000 0.0000 0.0000
# total magnetization: 1.2 Bohr magnetons per cell

=====

Run b
# In2MoAu | the Alexandria database | PBE-GGA | relaxed
data_In2MoAu
_symmetry_space_group_name_H-M 'C m m m'
_symmetry_Int_Tables_number 65
_symmetry_space_group_name_Hall '-C 2 2'
_cell_length_a 6.1737
_cell_length_b 8.1719
_cell_length_c 3.0396
_cell_angle_alpha 90.00
_cell_angle_beta 90.00
_cell_angle_gamma 90.00
loop_
_atom_site_label
_atom_site_fract_x
_atom_site_fract_y
_atom_site_fract_z
In1 0.2500 0.2500 0.0000
Mo1 0.0000 0.0000 0.5000
Au1 0.0000 0.5000 0.5000
# total magnetization: 0.0 Bohr magnetons per cell

=====

Which is the most stable structure? run b is the most stable.